*i*
A plane-wave DFT calculation with PBE was carried out for a relaxed structure of ZnBN2F.

The structure belongs to space group P4/mmm (No. 123); the cell edges are 3.9465, 3.9465 and 4.1418 Å and the angles 90.00°, 90.00° and 90.00°. Symmetry generates all atoms from Zn at (0.0000, 0.0000, 0.0000), B at (0.5000, 0.5000, 0.5000), N at (0.0000, 0.5000, 0.0000) and F at (0.0000, 0.0000, 0.5000).

For the total magnetization, the calculation gives 0.7009 μB per atom.



*ii*
A plane-wave DFT calculation with PBE was carried out for a relaxed structure of ZnBN2F.

The structure belongs to space group P4/mmm (No. 123); the cell edges are 3.0954, 3.0954 and 5.0709 Å and the angles 90.00°, 90.00° and 90.00°. Symmetry generates all atoms from Zn at (0.0000, 0.0000, 0.0000), B at (0.5000, 0.5000, 0.5000), N at (0.0000, 0.5000, 0.5000) and F at (0.5000, 0.5000, 0.0000).

For the total magnetization, the calculation gives 0.0000 μB per atom.



The structure with the least stability is *i*.



*i*
A plane-wave DFT calculation with PBE was carried out for a relaxed structure of ZrBN2F.

The structure belongs to space group P2_1/m (No. 11); the cell edges are 6.0240, 3.4049 and 6.6849 Å and the angles 90.00°, 107.04° and 90.00°. Symmetry generates all atoms from Zr at (0.0577, 0.2500, 0.2677), B at (0.2556, 0.2500, 0.8200), N at (0.1716, 0.2500, 0.6121), N at (0.1848, 0.2500, 0.9902) and F at (0.2785, 0.7500, 0.3268).

For the total magnetization, the calculation gives 0.0000 μB per atom.



*ii*
A plane-wave DFT calculation with PBE was carried out for a relaxed structure of ZrBN2F.

The structure belongs to space group P4/mmm (No. 123); the cell edges are 3.5556, 3.5556 and 3.3360 Å and the angles 90.00°, 90.00° and 90.00°. Symmetry generates all atoms from Zr at (0.0000, 0.0000, 0.0000), B at (0.5000, 0.5000, 0.5000), N at (0.0000, 0.5000, 0.5000) and F at (0.5000, 0.5000, 0.0000).

For the total magnetization, the calculation gives 0.0000 μB per atom.



The structure with the least stability is *ii*.



*i*
A plane-wave DFT calculation with PBE was carried out for a relaxed structure of NaBF3.

The structure belongs to space group Pm-3m (No. 221); the cell edges are 4.2575, 4.2575 and 4.2575 Å and the angles 90.00°, 90.00° and 90.00°. Symmetry generates all atoms from Na at (0.0000, 0.0000, 0.0000), B at (0.5000, 0.5000, 0.5000) and F at (0.0000, 0.0000, 0.5000).

For the total magnetization, the calculation gives 0.2000 μB per atom.



*ii*
A plane-wave DFT calculation with PBE was carried out for a relaxed structure of NaBF3.

The structure belongs to space group Pnma (No. 62); the cell edges are 7.6121, 7.7491 and 4.9870 Å and the angles 90.00°, 90.00° and 90.00°. Symmetry generates all atoms from Na at (0.0000, 0.0000, 0.0000), B at (0.2029, 0.2500, 0.4937), F at (0.1249, 0.2500, 0.2350) and F at (0.1536, 0.0990, 0.6349).

For the total magnetization, the calculation gives 0.1999 μB per atom.



The structure with the least stability is *i*.



*i*
A plane-wave DFT calculation with PBE was carried out for a relaxed structure of Na3BF6.

The structure belongs to space group Cmc2_1 (No. 36); the cell edges are 9.2066, 10.4204 and 6.0881 Å and the angles 90.00°, 90.00° and 90.00°. Symmetry generates all atoms from Na at (0.0000, 0.0584, 0.0000), Na at (0.2116, 0.3987, 0.9824), B at (0.0000, 0.3281, 0.3992), F at (0.0000, 0.2935, 0.1684), F at (0.0000, 0.4647, 0.4121), F at (0.1258, 0.2793, 0.4996) and F at (0.1672, 0.0080, 0.7433).

For the total magnetization, the calculation gives 0.0056 μB per atom.



*ii*
A plane-wave DFT calculation with PBE was carried out for a relaxed structure of Na3BF6.

The structure belongs to space group Cmc2_1 (No. 36); the cell edges are 9.2507, 11.2530 and 5.5512 Å and the angles 90.00°, 90.00° and 90.00°. Symmetry generates all atoms from Na at (0.0000, 0.0614, 0.0000), Na at (0.2132, 0.3989, 0.0893), B at (0.0000, 0.3066, 0.6852), F at (0.0000, 0.3280, 0.4363), F at (0.0000, 0.4155, 0.8179), F at (0.1242, 0.2406, 0.7577) and F at (0.1684, 0.0375, 0.2798).

For the total magnetization, the calculation gives 0.0000 μB per atom.



The structure with the least stability is *ii*.



*i*
A plane-wave DFT calculation with PBE was carried out for a relaxed structure of NaB2F.

The structure belongs to space group I4_1/amd (No. 141, origin choice 2); the cell edges are 3.1156, 3.1156 and 26.2359 Å and the angles 90.00°, 90.00° and 90.00°. Symmetry generates all atoms from Na at (0.0000, 0.2500, 0.3750), B at (0.0000, 0.0000, 0.0000) and F at (0.0000, 0.2500, 0.8750).

For the total magnetization, the calculation gives 0.0000 μB per atom.



*ii*
A plane-wave DFT calculation with PBE was carried out for a relaxed structure of NaB2F.

The structure belongs to space group Fm-3m (No. 225); the cell edges are 6.0772, 6.0772 and 6.0772 Å and the angles 90.00°, 90.00° and 90.00°. Symmetry generates all atoms from Na at (0.0000, 0.0000, 0.0000), B at (0.2500, 0.2500, 0.2500) and F at (0.0000, 0.0000, 0.5000).

For the total magnetization, the calculation gives 0.0000 μB per atom.



The structure with the least stability is *ii*.



*i*
A plane-wave DFT calculation with PBE was carried out for a relaxed structure of NbBF2.

The structure belongs to space group I-42d (No. 122); the cell edges are 3.4124, 3.4124 and 15.0731 Å and the angles 90.00°, 90.00° and 90.00°. Symmetry generates all atoms from Nb at (0.0000, 0.0000, 0.0000), B at (0.0000, 0.0000, 0.5000) and F at (0.2228, 0.2500, 0.1250).

For the total magnetization, the calculation gives 0.0000 μB per atom.



*ii*
A plane-wave DFT calculation with PBE was carried out for a relaxed structure of NbBF2.

The structure belongs to space group R-3m (No. 166, hexagonal axes); the cell edges are 2.6670, 2.6670 and 22.0503 Å and the angles 90.00°, 90.00° and 120.00°. Symmetry generates all atoms from Nb at (0.0000, 0.0000, 0.0000), B at (0.0000, 0.0000, 0.5000) and F at (0.0000, 0.0000, 0.4314).

For the total magnetization, the calculation gives 0.0000 μB per atom.



*iii*
A plane-wave DFT calculation with PBE was carried out for a relaxed structure of NbBF2.

The structure belongs to space group R-3m (No. 166, hexagonal axes); the cell edges are 2.9202, 2.9202 and 25.9860 Å and the angles 90.00°, 90.00° and 120.00°. Symmetry generates all atoms from Nb at (0.0000, 0.0000, 0.0000), B at (0.0000, 0.0000, 0.5000) and F at (0.0000, 0.0000, 0.0743).

For the total magnetization, the calculation gives 0.0000 μB per atom.



The structure with the least stability is *iii*.